one | VASP calculation (GGA-PBE) on a geometry-optimized Ta3Nb2W2 structure.

D(E_F): 1.18 states/eV per atom

```
data_Ta3Nb2W2
_cell_length_a 4.4409
_cell_length_b 4.6131
_cell_length_c 7.2691
_cell_angle_alpha 108.28
_cell_angle_beta 107.62
_cell_angle_gamma 90.12
_space_group_name_H-M_alt 'P -1'
_space_group_IT_number 2
loop_
_space_group_symop_operation_xyz
'x,y,z'
'-x,-y,-z'
loop_
_atom_site_label
_atom_site_fract_x
_atom_site_fract_y
_atom_site_fract_z
Ta1 0.0000 0.0000 0.0000
Ta2 0.2457 0.2458 0.4916
Nb1 0.1202 0.6178 0.2347
W1 0.3753 0.8742 0.7509
```

two | VASP calculation (GGA-PBE) on a geometry-optimized Ta3Nb2W2 structure.

D(E_F): 1.31 states/eV per atom

```
data_Ta3Nb2W2
_cell_length_a 3.3446
_cell_length_b 23.1027
_cell_length_c 3.2940
_cell_angle_alpha 90.00
_cell_angle_beta 90.00
_cell_angle_gamma 90.00
_space_group_name_H-M_alt 'C m m m'
_space_group_IT_number 65
_space_group_name_Hall '-C 2 2'
loop_
_atom_site_label
_atom_site_fract_x
_atom_site_fract_y
_atom_site_fract_z
Ta1 0.0000 0.0000 0.0000
Ta2 0.0000 0.4282 0.5000
Nb1 0.0000 0.1456 0.0000
W1 0.0000 0.2924 0.5000
```

Computed relative energies in units of meV per atom: one 200; two 0

one | VASP calculation (GGA-PBE) on a geometry-optimized Ta7Nb2W2 structure.

D(E_F): 0.89 states/eV per atom

```
data_Ta7Nb2W2
_cell_length_a 9.9989
_cell_length_b 9.5129
_cell_length_c 5.0730
_cell_angle_alpha 90.00
_cell_angle_beta 120.45
_cell_angle_gamma 90.00
_space_group_name_H-M_alt 'C 1 2/m 1'
_space_group_IT_number 12
loop_
_space_group_symop_operation_xyz
'x,y,z'
'-x,-y,-z'
'-x,y,-z'
'x,-y,z'
'x+1/2,y+1/2,z'
'-x+1/2,-y+1/2,-z'
'-x+1/2,y+1/2,-z'
'x+1/2,-y+1/2,z'
loop_
_atom_site_label
_atom_site_fract_x
_atom_site_fract_y
_atom_site_fract_z
Ta1 0.0000 0.0000 0.0000
Ta2 0.1748 0.2266 0.1747
Ta3 0.1845 0.0000 0.6841
Nb1 0.9995 0.5000 0.2453
W1 0.0000 0.2285 0.5000
```

two | VASP calculation (GGA-PBE) on a geometry-optimized Ta7Nb2W2 structure.

D(E_F): 1.17 states/eV per atom

```
data_Ta7Nb2W2
_cell_length_a 3.2505
_cell_length_b 14.0024
_cell_length_c 8.9708
_cell_angle_alpha 90.00
_cell_angle_beta 90.00
_cell_angle_gamma 90.00
_space_group_name_H-M_alt 'I m m 2'
_space_group_IT_number 44
loop_
_space_group_symop_operation_xyz
'x,y,z'
'-x,-y,z'
'-x,y,z'
'x,-y,z'
'x+1/2,y+1/2,z+1/2'
'-x+1/2,-y+1/2,z+1/2'
'-x+1/2,y+1/2,z+1/2'
'x+1/2,-y+1/2,z+1/2'
loop_
_atom_site_label
_atom_site_fract_x
_atom_site_fract_y
_atom_site_fract_z
Ta1 0.0000 0.0000 0.0000
Ta2 0.0000 0.1618 0.3000
Ta3 0.0000 0.3339 0.5463
Ta4 0.0000 0.3352 0.0548
Nb1 0.0000 0.0000 0.6001
Nb2 0.0000 0.5000 0.7982
W1 0.0000 0.1667 0.8013
```

Computed relative energies in units of meV per atom: one 93; two 0

one | VASP calculation (GGA-PBE) on a geometry-optimized TaNb3W structure.

D(E_F): 1.11 states/eV per atom

```
data_TaNb3W
_cell_length_a 16.5423
_cell_length_b 3.2107
_cell_length_c 7.2841
_cell_angle_alpha 90.00
_cell_angle_beta 105.61
_cell_angle_gamma 90.00
_space_group_name_H-M_alt 'C 1 2/m 1'
_space_group_IT_number 12
loop_
_space_group_symop_operation_xyz
'x,y,z'
'-x,-y,-z'
'-x,y,-z'
'x,-y,z'
'x+1/2,y+1/2,z'
'-x+1/2,-y+1/2,-z'
'-x+1/2,y+1/2,-z'
'x+1/2,-y+1/2,z'
loop_
_atom_site_label
_atom_site_fract_x
_atom_site_fract_y
_atom_site_fract_z
Ta1 0.1249 0.0000 0.1731
Nb1 0.0410 0.0000 0.7338
Nb2 0.1828 0.5000 0.9067
Nb3 0.2247 0.0000 0.6294
W1 0.0899 0.5000 0.4530
```

two | VASP calculation (GGA-PBE) on a geometry-optimized TaNb3W structure.

D(E_F): 1.16 states/eV per atom

```
data_TaNb3W
_cell_length_a 4.8171
_cell_length_b 4.8171
_cell_length_c 4.8171
_cell_angle_alpha 90.00
_cell_angle_beta 90.00
_cell_angle_gamma 90.00
_space_group_name_H-M_alt 'P m -3 m'
_space_group_IT_number 221
_space_group_name_Hall '-P 4 2 3'
loop_
_atom_site_label
_atom_site_fract_x
_atom_site_fract_y
_atom_site_fract_z
Ta1 0.0000 0.0000 0.0000
Nb1 0.0000 0.5000 0.5000
W1 0.5000 0.5000 0.5000
```

three | VASP calculation (GGA-PBE) on a geometry-optimized TaNb3W structure.

D(E_F): 1.06 states/eV per atom

```
data_TaNb3W
_cell_length_a 7.7085
_cell_length_b 12.1651
_cell_length_c 8.2072
_cell_angle_alpha 90.00
_cell_angle_beta 106.27
_cell_angle_gamma 90.00
_space_group_name_H-M_alt 'C 1 2/c 1'
_space_group_IT_number 15
loop_
_space_group_symop_operation_xyz
'x,y,z'
'-x,-y,-z'
'-x,y,-z+1/2'
'x,-y,z+1/2'
'x+1/2,y+1/2,z'
'-x+1/2,-y+1/2,-z'
'-x+1/2,y+1/2,-z+1/2'
'x+1/2,-y+1/2,z+1/2'
loop_
_atom_site_label
_atom_site_fract_x
_atom_site_fract_y
_atom_site_fract_z
Ta1 0.2138 0.0435 0.0833
Nb1 0.0603 0.3953 0.5908
Nb2 0.0992 0.1755 0.4440
Nb3 0.2096 0.2195 0.8257
W1 0.0000 0.0324 0.7500
W2 0.0000 0.3792 0.2500
```

Computed relative energies in units of meV per atom: one 0; two 1301; three 62

one | VASP calculation (GGA-PBE) on a geometry-optimized Ta2Nb5W4 structure.

D(E_F): 0.98 states/eV per atom

```
data_Ta2Nb5W4
_cell_length_a 20.0205
_cell_length_b 2.6954
_cell_length_c 7.3171
_cell_angle_alpha 90.00
_cell_angle_beta 91.54
_cell_angle_gamma 90.00
_space_group_name_H-M_alt 'C 1 2/m 1'
_space_group_IT_number 12
loop_
_space_group_symop_operation_xyz
'x,y,z'
'-x,-y,-z'
'-x,y,-z'
'x,-y,z'
'x+1/2,y+1/2,z'
'-x+1/2,-y+1/2,-z'
'-x+1/2,y+1/2,-z'
'x+1/2,-y+1/2,z'
loop_
_atom_site_label
_atom_site_fract_x
_atom_site_fract_y
_atom_site_fract_z
Ta1 0.0906 0.0000 0.2231
Nb1 0.0000 0.5000 0.5000
Nb2 0.1376 0.0000 0.5964
Nb3 0.2298 0.0000 0.3133
W1 0.0468 0.0000 0.8627
W2 0.1805 0.5000 0.9613
```

two | VASP calculation (GGA-PBE) on a geometry-optimized Ta2Nb5W4 structure.

D(E_F): 1.08 states/eV per atom

```
data_Ta2Nb5W4
_cell_length_a 14.8836
_cell_length_b 4.5910
_cell_length_c 6.4628
_cell_angle_alpha 90.00
_cell_angle_beta 113.97
_cell_angle_gamma 90.00
_space_group_name_H-M_alt 'C 1 2/m 1'
_space_group_IT_number 12
loop_
_space_group_symop_operation_xyz
'x,y,z'
'-x,-y,-z'
'-x,y,-z'
'x,-y,z'
'x+1/2,y+1/2,z'
'-x+1/2,-y+1/2,-z'
'-x+1/2,y+1/2,-z'
'x+1/2,-y+1/2,z'
loop_
_atom_site_label
_atom_site_fract_x
_atom_site_fract_y
_atom_site_fract_z
Ta1 0.1592 0.0000 0.4198
Nb1 0.0000 0.0000 0.0000
Nb2 0.1634 0.5000 0.6695
Nb3 0.1653 0.5000 0.1630
W1 0.0020 0.5000 0.2560
W2 0.1642 0.0000 0.9125
```

Computed relative energies in units of meV per atom: one 12; two 0

one | VASP calculation (GGA-PBE) on a geometry-optimized Ta6NbW2 structure.

D(E_F): 1.13 states/eV per atom

```
data_Ta6NbW2
_cell_length_a 4.5748
_cell_length_b 4.5748
_cell_length_c 28.0052
_cell_angle_alpha 90.00
_cell_angle_beta 90.00
_cell_angle_gamma 120.00
_space_group_name_H-M_alt 'R -3 m'
_space_group_IT_number 166
_space_group_name_Hall '-R 3 2"'
loop_
_atom_site_label
_atom_site_fract_x
_atom_site_fract_y
_atom_site_fract_z
Ta1 0.0000 0.0000 0.0917
Ta2 0.0000 0.0000 0.1990
Ta3 0.0000 0.0000 0.3038
Nb1 0.0000 0.0000 0.5000
W1 0.0000 0.0000 0.3993
```

two | VASP calculation (GGA-PBE) on a geometry-optimized Ta6NbW2 structure.

D(E_F): 1.13 states/eV per atom

```
data_Ta6NbW2
_cell_length_a 10.3880
_cell_length_b 3.2679
_cell_length_c 9.8923
_cell_angle_alpha 90.00
_cell_angle_beta 108.10
_cell_angle_gamma 90.00
_space_group_name_H-M_alt 'C 1 2/m 1'
_space_group_IT_number 12
loop_
_space_group_symop_operation_xyz
'x,y,z'
'-x,-y,-z'
'-x,y,-z'
'x,-y,z'
'x+1/2,y+1/2,z'
'-x+1/2,-y+1/2,-z'
'-x+1/2,y+1/2,-z'
'x+1/2,-y+1/2,z'
loop_
_atom_site_label
_atom_site_fract_x
_atom_site_fract_y
_atom_site_fract_z
Ta1 0.0072 0.0000 0.3324
Ta2 0.1694 0.5000 0.5628
Ta3 0.1703 0.5000 0.8857
Nb1 0.0000 0.0000 0.0000
W1 0.1676 0.5000 0.2212
```

Computed relative energies in units of meV per atom: one 263; two 0

one | VASP calculation (GGA-PBE) on a geometry-optimized TaNb2W6 structure.

D(E_F): 0.79 states/eV per atom

```
data_TaNb2W6
_cell_length_a 13.9512
_cell_length_b 5.3715
_cell_length_c 4.6950
_cell_angle_alpha 90.00
_cell_angle_beta 109.45
_cell_angle_gamma 90.00
_space_group_name_H-M_alt 'C 1 2/m 1'
_space_group_IT_number 12
loop_
_space_group_symop_operation_xyz
'x,y,z'
'-x,-y,-z'
'-x,y,-z'
'x,-y,z'
'x+1/2,y+1/2,z'
'-x+1/2,-y+1/2,-z'
'-x+1/2,y+1/2,-z'
'x+1/2,-y+1/2,z'
loop_
_atom_site_label
_atom_site_fract_x
_atom_site_fract_y
_atom_site_fract_z
Ta1 0.0000 0.0000 0.0000
Nb1 0.1085 0.5000 0.1081
W1 0.0000 0.2568 0.5000
W2 0.1971 0.2552 0.6973
```

two | VASP calculation (GGA-PBE) on a geometry-optimized TaNb2W6 structure.

D(E_F): 0.86 states/eV per atom

```
data_TaNb2W6
_cell_length_a 7.9917
_cell_length_b 8.4895
_cell_length_c 4.7614
_cell_angle_alpha 90.00
_cell_angle_beta 105.90
_cell_angle_gamma 90.00
_space_group_name_H-M_alt 'C 1 2/m 1'
_space_group_IT_number 12
loop_
_space_group_symop_operation_xyz
'x,y,z'
'-x,-y,-z'
'-x,y,-z'
'x,-y,z'
'x+1/2,y+1/2,z'
'-x+1/2,-y+1/2,-z'
'-x+1/2,y+1/2,-z'
'x+1/2,-y+1/2,z'
loop_
_atom_site_label
_atom_site_fract_x
_atom_site_fract_y
_atom_site_fract_z
Ta1 0.0000 0.0000 0.0000
Nb1 0.1656 0.5000 0.6654
W1 0.0000 0.1700 0.5000
W2 0.1664 0.3293 0.1654
```

Computed relative energies in units of meV per atom: one 385; two 0

one | VASP calculation (GGA-PBE) on a geometry-optimized Ta2NbW2 structure.

D(E_F): 0.91 states/eV per atom

```
data_Ta2NbW2
_cell_length_a 4.7285
_cell_length_b 13.6966
_cell_length_c 5.4722
_cell_angle_alpha 90.00
_cell_angle_beta 90.00
_cell_angle_gamma 90.00
_space_group_name_H-M_alt 'C m c 21'
_space_group_IT_number 36
loop_
_space_group_symop_operation_xyz
'x,y,z'
'-x,-y,z+1/2'
'-x,y,z'
'x,-y,z+1/2'
'x+1/2,y+1/2,z'
'-x+1/2,-y+1/2,z+1/2'
'-x+1/2,y+1/2,z'
'x+1/2,-y+1/2,z+1/2'
loop_
_atom_site_label
_atom_site_fract_x
_atom_site_fract_y
_atom_site_fract_z
Ta1 0.0000 0.0048 0.0000
Ta2 0.0000 0.1960 0.3393
Nb1 0.0000 0.4000 0.1762
W1 0.0000 0.1962 0.8330
W2 0.0000 0.3923 0.6765
```

two | VASP calculation (GGA-PBE) on a geometry-optimized Ta2NbW2 structure.

D(E_F): 0.93 states/eV per atom

```
data_Ta2NbW2
_cell_length_a 3.2997
_cell_length_b 17.1095
_cell_length_c 3.2179
_cell_angle_alpha 90.00
_cell_angle_beta 90.00
_cell_angle_gamma 90.00
_space_group_name_H-M_alt 'C m m m'
_space_group_IT_number 65
_space_group_name_Hall '-C 2 2'
loop_
_atom_site_label
_atom_site_fract_x
_atom_site_fract_y
_atom_site_fract_z
Ta1 0.0000 0.1828 0.0000
Nb1 0.0000 0.0000 0.0000
W1 0.0000 0.4034 0.5000
```

Computed relative energies in units of meV per atom: one 0; two 121

one | VASP calculation (GGA-PBE) on a geometry-optimized TaNb2W2 structure.

D(E_F): 1.00 states/eV per atom

```
data_TaNb2W2
_cell_length_a 13.2150
_cell_length_b 4.5067
_cell_length_c 7.0737
_cell_angle_alpha 90.00
_cell_angle_beta 119.28
_cell_angle_gamma 90.00
_space_group_name_H-M_alt 'C 1 2/m 1'
_space_group_IT_number 12
loop_
_space_group_symop_operation_xyz
'x,y,z'
'-x,-y,-z'
'-x,y,-z'
'x,-y,z'
'x+1/2,y+1/2,z'
'-x+1/2,-y+1/2,-z'
'-x+1/2,y+1/2,-z'
'x+1/2,-y+1/2,z'
loop_
_atom_site_label
_atom_site_fract_x
_atom_site_fract_y
_atom_site_fract_z
Ta1 0.1267 0.0000 0.1700
Nb1 0.1752 0.5000 0.9135
Nb2 0.2239 0.0000 0.6303
W1 0.0452 0.0000 0.7204
W2 0.0878 0.5000 0.4438
```

two | VASP calculation (GGA-PBE) on a geometry-optimized TaNb2W2 structure.

D(E_F): 1.05 states/eV per atom

```
data_TaNb2W2
_cell_length_a 3.2553
_cell_length_b 4.6142
_cell_length_c 11.6030
_cell_angle_alpha 90.00
_cell_angle_beta 98.16
_cell_angle_gamma 90.00
_space_group_name_H-M_alt 'P 1 21/m 1'
_space_group_IT_number 11
loop_
_space_group_symop_operation_xyz
'x,y,z'
'-x,-y,-z'
'-x,y+1/2,-z'
'x,-y+1/2,z'
loop_
_atom_site_label
_atom_site_fract_x
_atom_site_fract_y
_atom_site_fract_z
Ta1 0.1482 0.2500 0.2956
Nb1 0.0496 0.7500 0.0995
Nb2 0.2478 0.7500 0.4952
W1 0.3511 0.2500 0.7019
W2 0.4510 0.7500 0.9011
```

Computed relative energies in units of meV per atom: one 325; two 0

one | VASP calculation (GGA-PBE) on a geometry-optimized Ta5Nb4W2 structure.

D(E_F): 0.95 states/eV per atom

```
data_Ta5Nb4W2
_cell_length_a 20.1504
_cell_length_b 2.7145
_cell_length_c 7.3990
_cell_angle_alpha 90.00
_cell_angle_beta 93.62
_cell_angle_gamma 90.00
_space_group_name_H-M_alt 'C 1 2/m 1'
_space_group_IT_number 12
loop_
_space_group_symop_operation_xyz
'x,y,z'
'-x,-y,-z'
'-x,y,-z'
'x,-y,z'
'x+1/2,y+1/2,z'
'-x+1/2,-y+1/2,-z'
'-x+1/2,y+1/2,-z'
'x+1/2,-y+1/2,z'
loop_
_atom_site_label
_atom_site_fract_x
_atom_site_fract_y
_atom_site_fract_z
Ta1 0.0000 0.0000 0.0000
Ta2 0.1358 0.5000 0.0951
Ta3 0.2293 0.5000 0.8229
Nb1 0.0463 0.5000 0.3607
Nb2 0.1802 0.0000 0.4675
W1 0.0902 0.5000 0.7324
```

two | VASP calculation (GGA-PBE) on a geometry-optimized Ta5Nb4W2 structure.

D(E_F): 1.00 states/eV per atom

```
data_Ta5Nb4W2
_cell_length_a 2.7967
_cell_length_b 7.2735
_cell_length_c 9.9138
_cell_angle_alpha 91.76
_cell_angle_beta 95.67
_cell_angle_gamma 100.20
_space_group_name_H-M_alt 'P -1'
_space_group_IT_number 2
loop_
_space_group_symop_operation_xyz
'x,y,z'
'-x,-y,-z'
loop_
_atom_site_label
_atom_site_fract_x
_atom_site_fract_y
_atom_site_fract_z
Ta1 0.0000 0.0000 0.0000
Ta2 0.1486 0.4584 0.3604
Ta3 0.4537 0.0902 0.2703
Nb1 0.1928 0.6346 0.9147
Nb2 0.2988 0.1806 0.5439
W1 0.3365 0.2693 0.8222
```

Computed relative energies in units of meV per atom: one 221; two 0

one | VASP calculation (GGA-PBE) on a geometry-optimized Ta2NbW6 structure.

D(E_F): 0.89 states/eV per atom

```
data_Ta2NbW6
_cell_length_a 7.9726
_cell_length_b 8.4613
_cell_length_c 4.7855
_cell_angle_alpha 90.00
_cell_angle_beta 105.78
_cell_angle_gamma 90.00
_space_group_name_H-M_alt 'C 1 2/m 1'
_space_group_IT_number 12
loop_
_space_group_symop_operation_xyz
'x,y,z'
'-x,-y,-z'
'-x,y,-z'
'x,-y,z'
'x+1/2,y+1/2,z'
'-x+1/2,-y+1/2,-z'
'-x+1/2,y+1/2,-z'
'x+1/2,-y+1/2,z'
loop_
_atom_site_label
_atom_site_fract_x
_atom_site_fract_y
_atom_site_fract_z
Ta1 0.1678 0.0000 0.1677
Nb1 0.0000 0.5000 0.5000
W1 0.0000 0.3291 0.0000
W2 0.1669 0.1701 0.6679
```

two | VASP calculation (GGA-PBE) on a geometry-optimized Ta2NbW6 structure.

D(E_F): 0.68 states/eV per atom

```
data_Ta2NbW6
_cell_length_a 13.6087
_cell_length_b 8.3028
_cell_length_c 2.7275
_cell_angle_alpha 90.00
_cell_angle_beta 94.15
_cell_angle_gamma 90.00
_space_group_name_H-M_alt 'C 1 2/m 1'
_space_group_IT_number 12
loop_
_space_group_symop_operation_xyz
'x,y,z'
'-x,-y,-z'
'-x,y,-z'
'x,-y,z'
'x+1/2,y+1/2,z'
'-x+1/2,-y+1/2,-z'
'-x+1/2,y+1/2,-z'
'x+1/2,-y+1/2,z'
loop_
_atom_site_label
_atom_site_fract_x
_atom_site_fract_y
_atom_site_fract_z
Ta1 0.1684 0.0000 0.4890
Nb1 0.0000 0.5000 0.5000
W1 0.0000 0.1706 0.0000
W2 0.1675 0.3280 0.8144
```

Computed relative energies in units of meV per atom: one 158; two 0